# Ca2Sn2F3, optimized geometry, DFT PBE
# Total DFT energy (no corrections) (eV per cell): -68.9
# Formation energy (no corrections) (eV per atom): -2.41
# Symmetry: No. 8
data_Ca2Sn2F3
_cell_length_a 8.9111
_cell_length_b 8.9111
_cell_length_c 5.5060
_cell_angle_alpha 90.73
_cell_angle_beta 90.73
_cell_angle_gamma 49.71
_space_group_name_H-M_alt 'P 1'
_space_group_IT_number 1
_space_group_name_Hall 'P 1'
loop_
_atom_site_label
_atom_site_type_symbol
_atom_site_fract_x
_atom_site_fract_y
_atom_site_fract_z
Ca1 Ca 0.0000 0.0000 0.0000
Ca2 Ca 0.3802 0.8748 0.5664
Ca3 Ca 0.5011 0.5011 0.1212
Ca4 Ca 0.8748 0.3802 0.5664
Sn1 Sn 0.0939 0.4914 0.1040
Sn2 Sn 0.3260 0.3260 0.5831
Sn3 Sn 0.4914 0.0939 0.1040
Sn4 Sn 0.8015 0.8015 0.7619
F1 F 0.1114 0.1114 0.7610
F2 F 0.2265 0.8263 0.2934
F3 F 0.3290 0.7254 0.8296
F4 F 0.6172 0.6172 0.3517
F5 F 0.7254 0.3290 0.8296
F6 F 0.8263 0.2265 0.2934

---

# CaSnF2, optimized geometry, DFT PBE
# Total DFT energy (no corrections) (eV per cell): -17.0
# Formation energy (no corrections) (eV per atom): -1.80
# Energy above the lowest structure with this stoichiometry (eV/atom): 0.851
# Symmetry: No. 166
data_CaSnF2
_cell_length_a 8.5762
_cell_length_b 8.5762
_cell_length_c 8.5762
_cell_angle_alpha 23.88
_cell_angle_beta 23.88
_cell_angle_gamma 23.88
_space_group_name_H-M_alt 'P 1'
_space_group_IT_number 1
_space_group_name_Hall 'P 1'
loop_
_atom_site_label
_atom_site_type_symbol
_atom_site_fract_x
_atom_site_fract_y
_atom_site_fract_z
Ca1 Ca 0.0000 0.0000 0.0000
Sn1 Sn 0.5000 0.5000 0.5000
F1 F 0.0848 0.0848 0.0848
F2 F 0.9152 0.9152 0.9152

---

# CaSn2F11, optimized geometry, DFT PBE
# Total DFT energy (no corrections) (eV per cell): -131.8
# Formation energy (no corrections) (eV per atom): -2.52
# Symmetry: No. 72
data_CaSn2F11
_cell_length_a 8.3775
_cell_length_b 8.3775
_cell_length_c 8.3775
_cell_angle_alpha 123.26
_cell_angle_beta 106.07
_cell_angle_gamma 100.06
_space_group_name_H-M_alt 'P 1'
_space_group_IT_number 1
_space_group_name_Hall 'P 1'
loop_
_atom_site_label
_atom_site_type_symbol
_atom_site_fract_x
_atom_site_fract_y
_atom_site_fract_z
Ca1 Ca 0.2500 0.2500 0.0000
Ca2 Ca 0.7500 0.7500 0.0000
Sn1 Sn 0.1906 0.6483 0.8390
Sn2 Sn 0.3094 0.1483 0.4577
Sn3 Sn 0.6906 0.8517 0.5423
Sn4 Sn 0.8094 0.3517 0.1610
F1 F 0.0000 0.5000 0.5000
F2 F 0.0431 0.9702 0.2811
F3 F 0.0488 0.3723 0.1592
F4 F 0.1891 0.4702 0.9270
F5 F 0.2048 0.3835 0.5883
F6 F 0.2130 0.8896 0.8408
F7 F 0.2870 0.1277 0.6766
F8 F 0.2952 0.8835 0.1788
F9 F 0.3109 0.2379 0.2811
F10 F 0.4512 0.6104 0.3234
F11 F 0.4569 0.7379 0.9270
F12 F 0.5000 0.0000 0.5000
F13 F 0.5431 0.2621 0.0730
F14 F 0.5488 0.3896 0.6766
F15 F 0.6891 0.7621 0.7189
F16 F 0.7048 0.1165 0.8212
F17 F 0.7130 0.8723 0.3234
F18 F 0.7870 0.1104 0.1592
F19 F 0.7952 0.6165 0.4117
F20 F 0.8109 0.5298 0.0730
F21 F 0.9512 0.6277 0.8408
F22 F 0.9569 0.0298 0.7189